No. 1
Entry from Alexandria: a relaxed structure of Tb8CeNd6 (GGA-PBE).

Calculated values
Uncorrected energy, eV per cell: -69.73
Formation energy from the elements, meV/atom: 123
Volume, Å³/atom: 33.64

Cell lengths 8.7358, 8.7358, 8.7358 Å; angles 63.17, 63.17, 63.17 degrees
Closest atoms and distances in Å follow each position.
Fractional positions:
Tb: 0.7527 0.1125 0.7157  3 Nd 3.42-3.70, 5 Tb 3.45-3.48, 1 Ce 3.54
Tb: 0.8875 0.2843 0.2473  3 Nd 3.42-3.70, 5 Tb 3.45-3.48, 1 Ce 3.54
Tb: 0.1125 0.7157 0.7527  3 Nd 3.42-3.70, 5 Tb 3.45-3.48, 1 Ce 3.54
Tb: 0.2843 0.2473 0.8875  3 Nd 3.42-3.70, 5 Tb 3.45-3.48, 1 Ce 3.54
Tb: 0.2473 0.8875 0.2843  3 Nd 3.42-3.70, 5 Tb 3.45-3.48, 1 Ce 3.54
Tb: 0.4231 0.4231 0.4231  4 Tb 3.21-3.45, 3 Nd 3.45
Tb: 0.7157 0.7527 0.1125  3 Nd 3.42-3.70, 5 Tb 3.45-3.48, 1 Ce 3.54
Tb: 0.5769 0.5769 0.5769  4 Tb 3.21-3.45, 3 Nd 3.45
Nd: 0.2281 0.1035 0.5402  4 Tb 3.42-3.70, 1 Ce 3.47, 4 Nd 3.57-3.80
Nd: 0.7719 0.8965 0.4598  4 Tb 3.42-3.70, 1 Ce 3.47, 4 Nd 3.57-3.80
Nd: 0.1035 0.5402 0.2281  4 Tb 3.42-3.70, 1 Ce 3.47, 4 Nd 3.57-3.80
Nd: 0.4598 0.7719 0.8965  4 Tb 3.42-3.70, 1 Ce 3.47, 4 Nd 3.57-3.80
Nd: 0.8965 0.4598 0.7719  4 Tb 3.42-3.70, 1 Ce 3.47, 4 Nd 3.57-3.80
Nd: 0.5402 0.2281 0.1035  4 Tb 3.42-3.70, 1 Ce 3.47, 4 Nd 3.57-3.80
Ce: 0.0000 0.0000 0.0000  6 Nd 3.47, 6 Tb 3.54



No. 2
Entry from Alexandria: a relaxed structure of NbNi3Pd (GGA-PBE).

Calculated values
Uncorrected energy, eV per cell: -67.35
Formation energy from the elements, meV/atom: -214
Relative energy among the computed polymorphs, eV per formula unit: 0.00
Volume, Å³/atom: 13.15

Cell lengths 4.6303, 7.9135, 4.6061 Å; angles 94.71, 69.19, 61.24 degrees
Closest atoms and distances in Å follow each position.
Fractional positions:
Ni: 0.0456 0.7053 0.8525  3 Nb 2.56-2.63, 2 Pd 2.61, 7 Ni 2.63-2.71
Ni: 0.7389 0.5112 0.7557  7 Ni 2.54-2.71, 4 Nb 2.56-2.64, 1 Pd 2.65
Ni: 0.3550 0.8959 0.9479  6 Ni 2.54-2.70, 4 Pd 2.62-2.70, 2 Nb 2.70
Ni: 0.2611 0.4888 0.2443  7 Ni 2.54-2.71, 4 Nb 2.56-2.64, 1 Pd 2.65
Ni: 0.6450 0.1041 0.0520  6 Ni 2.54-2.70, 4 Pd 2.62-2.70, 2 Nb 2.70
Ni: 0.9544 0.2947 0.1475  3 Nb 2.56-2.63, 2 Pd 2.61, 7 Ni 2.63-2.71
Nb: 0.5678 0.6823 0.3409  9 Ni 2.56-2.70, 3 Pd 2.69-2.82
Nb: 0.4322 0.3177 0.6591  9 Ni 2.56-2.70, 3 Pd 2.69-2.82
Pd: 0.1405 0.1094 0.5550  7 Ni 2.61-2.70, 3 Nb 2.69-2.82, 2 Pd 2.73
Pd: 0.8595 0.8907 0.4450  7 Ni 2.61-2.70, 3 Nb 2.69-2.82, 2 Pd 2.73



No. 3
Entry from Alexandria: a relaxed structure of Rb4HoCl7 (GGA-PBE).

Calculated values
Uncorrected energy, eV per cell: -46.14
Volume, Å³/atom: 39.97
Energy relative to the elements, uncorrected, eV per atom: -2.06

Cell lengths 5.3059, 8.7503, 12.5184 Å; angles 60.29, 77.76, 72.35 degrees
Closest atoms and distances in Å follow each position.
Fractional positions:
Cl: 0.8931 0.3525 0.8614  1 Ho 2.63
Cl: 0.1149 0.9771 0.7932  1 Ho 2.62
Cl: 0.6455 0.2469 0.4621  5 Rb 3.22-3.35
Cl: 0.1069 0.6475 0.1386  1 Ho 2.63
Cl: 0.3545 0.7531 0.5379  5 Rb 3.22-3.35
Cl: 0.8851 0.0229 0.2068  1 Ho 2.62
Cl: 0.5000 0.0000 0.0000  2 Ho 2.65
Rb: 0.7530 0.8137 0.6803  6 Cl 3.34-3.54
Rb: 0.5098 0.6806 0.2998  5 Cl 3.22-3.39
Rb: 0.2470 0.1863 0.3197  6 Cl 3.34-3.54
Rb: 0.4902 0.3194 0.7002  5 Cl 3.22-3.39
Ho: 0.0000 0.0000 0.0000  6 Cl 2.62-2.65



No. 4
Entry from Alexandria: a relaxed structure of AcZn2GeN4 (GGA-PBE).

Calculated values
Uncorrected energy, eV per cell: -46.52
Volume, Å³/atom: 13.71
Energy relative to the elements, uncorrected, eV per atom: -0.24

Cell lengths 5.4382, 5.3430, 5.3430 Å; angles 87.94, 59.41, 59.41 degrees
Closest atoms and distances in Å follow each position.
Fractional positions:
N: 0.0000 0.8463 0.5503  1 Ge 1.88, 2 Zn 2.10
N: 0.3966 0.1537 0.4497  1 Ge 1.88, 2 Zn 2.10
N: 0.6034 0.5503 0.8463  1 Ge 1.88, 2 Zn 2.10
N: 0.0000 0.4497 0.1537  1 Ge 1.88, 2 Zn 2.10
Ge: 0.0000 0.5000 0.5000  4 N 1.88
Ac: 0.0000 0.0000 0.0000  4 N 2.57
Zn: 0.5000 0.7500 0.2500  4 N 2.10
Zn: 0.5000 0.2500 0.7500  4 N 2.10



No. 5
Entry from Alexandria: a relaxed structure of Dy3SbSe6 (GGA-PBE).

Calculated values
Uncorrected energy, eV per cell: -105.92
Relative energy among the computed polymorphs, eV per formula unit: 0.19
Volume, Å³/atom: 27.42
Energy relative to the elements, uncorrected, eV per atom: -1.41

Cell lengths 7.0770, 8.9213, 8.9213 Å; angles 103.18, 90.00, 90.00 degrees
Closest atoms and distances in Å follow each position.
Fractional positions:
Dy: 0.9837 0.0840 0.2835  7 Se 2.85-3.16
Dy: 0.3811 0.4064 0.5936  7 Se 2.92-2.98
Dy: 0.8811 0.5936 0.4064  7 Se 2.92-2.98
Dy: 0.9837 0.7165 0.9160  7 Se 2.85-3.16
Dy: 0.4837 0.9160 0.7165  7 Se 2.85-3.16
Dy: 0.4837 0.2835 0.0840  7 Se 2.85-3.16
Sb: 0.5009 0.8213 0.1787  4 Se 2.68-2.97
Sb: 0.0009 0.1787 0.8213  4 Se 2.68-2.97
Se: 0.6210 0.2324 0.7676  1 Sb 2.79, 3 Dy 2.92-2.97
Se: 0.1781 0.6990 0.6326  4 Dy 2.85-2.93
Se: 0.7041 0.5625 0.0980  1 Sb 2.68, 2 Dy 2.92-2.98
Se: 0.7504 0.9921 0.0079  4 Dy 2.92-3.16, 2 Sb 2.97-3.15
Se: 0.6781 0.3010 0.3674  4 Dy 2.85-2.93
Se: 0.1781 0.3674 0.3010  4 Dy 2.85-2.93
Se: 0.2041 0.4375 0.9020  1 Sb 2.68, 2 Dy 2.92-2.98
Se: 0.2504 0.0079 0.9921  4 Dy 2.92-3.16, 2 Sb 2.97-3.15
Se: 0.1210 0.7676 0.2324  1 Sb 2.79, 3 Dy 2.92-2.97
Se: 0.7041 0.9020 0.4375  1 Sb 2.68, 2 Dy 2.92-2.98
Se: 0.2041 0.0980 0.5625  1 Sb 2.68, 2 Dy 2.92-2.98
Se: 0.6781 0.6326 0.6990  4 Dy 2.85-2.93



No. 6
Entry from Alexandria: a relaxed structure of Rb2In7Pb (GGA-PBE).

Calculated values
Uncorrected energy, eV per cell: -26.03
Formation energy from the elements, meV/atom: -122
Volume, Å³/atom: 33.14

Cell lengths 5.0901, 5.0901, 12.7922 Å; angles 90.00, 90.00, 90.00 degrees
Closest atoms and distances in Å follow each position.
Fractional positions:
Pb: 0.5000 0.5000 0.0000  4 In 3.10
In: 0.0000 0.0000 0.5000  4 In 3.06
In: 0.5000 0.0000 0.1387  3 In 2.93-3.10, 2 Pb 3.10
In: 0.0000 0.5000 0.6324  5 In 2.93-3.06
In: 0.0000 0.5000 0.8613  3 In 2.93-3.10, 2 Pb 3.10
In: 0.5000 0.5000 0.5000  4 In 3.06
In: 0.0000 0.0000 0.0000  4 In 3.10
In: 0.5000 0.0000 0.3676  5 In 2.93-3.06
Rb: 0.0000 0.5000 0.2525  14 In 3.88-4.11, 2 Pb 4.11
Rb: 0.5000 0.0000 0.7475  14 In 3.88-4.11, 2 Pb 4.11



No. 7
Entry from Alexandria: a relaxed structure of Ge2BrF (GGA-PBE).

Calculated values
Uncorrected energy, eV per cell: -13.30
Relative energy among the computed polymorphs, eV per formula unit: 1.57
Volume, Å³/atom: 19.58
Energy relative to the elements, uncorrected, eV per atom: -0.13

Cell lengths 4.8022, 4.8022, 4.8022 Å; angles 60.00, 60.00, 60.00 degrees
Closest atoms and distances in Å follow each position.
Fractional positions:
Ge: 0.7500 0.7500 0.7500  4 F 2.94, 4 Br 2.94
Ge: 0.2500 0.2500 0.2500  4 Br 2.94, 4 F 2.94
Br: 0.5000 0.5000 0.5000  8 Ge 2.94
F: 0.0000 0.0000 0.0000  8 Ge 2.94



No. 8
Entry from Alexandria: a relaxed structure of NdGa4Ir2 (GGA-PBE).

Calculated values
Uncorrected energy, eV per cell: -155.88
Formation energy from the elements, meV/atom: -625
Relative energy among the computed polymorphs, eV per formula unit: 0.00
Volume, Å³/atom: 17.90

Cell lengths 4.3604, 6.6262, 17.3425 Å; angles 90.00, 90.00, 90.00 degrees
Closest atoms and distances in Å follow each position.
Fractional positions:
Ir: 0.7500 0.2561 0.9627  7 Ga 2.54-2.77
Ir: 0.7500 0.4945 0.7136  7 Ga 2.53-2.61
Ir: 0.2500 0.5055 0.2864  7 Ga 2.53-2.61
Ir: 0.2500 0.7439 0.0373  7 Ga 2.54-2.77
Ir: 0.2500 0.9945 0.7864  7 Ga 2.53-2.61
Ir: 0.2500 0.7561 0.5373  7 Ga 2.54-2.77
Ir: 0.7500 0.0055 0.2136  7 Ga 2.53-2.61
Ir: 0.7500 0.2439 0.4627  7 Ga 2.54-2.77
Nd: 0.7500 0.9992 0.6401  9 Ga 3.03-3.27, 4 Ir 3.24-3.35
Nd: 0.2500 0.4992 0.8599  9 Ga 3.03-3.27, 4 Ir 3.24-3.35
Nd: 0.7500 0.5008 0.1401  9 Ga 3.03-3.27, 4 Ir 3.24-3.35
Nd: 0.2500 0.0008 0.3599  9 Ga 3.03-3.27, 4 Ir 3.24-3.35
Ga: 0.2500 0.0106 0.9320  4 Ir 2.53-2.77, 1 Ga 2.83
Ga: 0.7500 0.5106 0.5680  4 Ir 2.53-2.77, 1 Ga 2.83
Ga: 0.2500 0.1569 0.5344  3 Ir 2.58-2.66, 2 Ga 2.83
Ga: 0.7500 0.1979 0.8128  4 Ir 2.60-2.63, 1 Ga 2.69
Ga: 0.7500 0.9894 0.0680  4 Ir 2.53-2.77, 1 Ga 2.83
Ga: 0.7500 0.7917 0.8107  3 Ir 2.59-2.60, 2 Ga 2.69-2.83
Ga: 0.2500 0.6979 0.6872  4 Ir 2.60-2.63, 1 Ga 2.69
Ga: 0.7500 0.6569 0.9656  3 Ir 2.58-2.66, 2 Ga 2.83
Ga: 0.2500 0.2083 0.1893  3 Ir 2.59-2.60, 2 Ga 2.69-2.83
Ga: 0.7500 0.7083 0.3107  3 Ir 2.59-2.60, 2 Ga 2.69-2.83
Ga: 0.2500 0.8021 0.1872  4 Ir 2.60-2.63, 1 Ga 2.69
Ga: 0.2500 0.2917 0.6893  3 Ir 2.59-2.60, 2 Ga 2.69-2.83
Ga: 0.7500 0.3021 0.3128  4 Ir 2.60-2.63, 1 Ga 2.69
Ga: 0.2500 0.3431 0.0344  3 Ir 2.58-2.66, 2 Ga 2.83
Ga: 0.2500 0.4894 0.4320  4 Ir 2.53-2.77, 1 Ga 2.83
Ga: 0.7500 0.8431 0.4656  3 Ir 2.58-2.66, 2 Ga 2.83



No. 9
Entry from Alexandria: a relaxed structure of Ti2AgF8 (GGA-PBE).

Calculated values
Uncorrected energy, eV per cell: -65.36
Relative energy among the computed polymorphs, eV per formula unit: 0.00
Volume, Å³/atom: 16.05
Energy relative to the elements, uncorrected, eV per atom: -2.89

Cell lengths 3.9622, 7.1731, 7.1746 Å; angles 120.02, 90.00, 90.00 degrees
Closest atoms and distances in Å follow each position.
Fractional positions:
Ti: 0.2458 0.3333 0.6667  5 F 1.83-1.98
Ti: 0.7542 0.6667 0.3333  5 F 1.83-1.98
F: 0.7534 0.8145 0.6275  1 Ti 1.83
F: 0.2466 0.1870 0.8145  1 Ti 1.83
F: 0.7533 0.3724 0.1869  1 Ti 1.83
F: 0.7534 0.8130 0.1854  1 Ti 1.83
F: 0.2466 0.1855 0.3725  1 Ti 1.83
F: 0.7463 0.3333 0.6667  2 Ti 1.98
F: 0.2467 0.6276 0.8131  1 Ti 1.83
F: 0.2537 0.6667 0.3333  2 Ti 1.98
Ag: 0.0000 0.0000 0.0000  6 F 2.51



No. 10
Entry from Alexandria: a relaxed structure of PuAlHIr2 (GGA-PBE).

Calculated values
Uncorrected energy, eV per cell: -83.01
Volume, Å³/atom: 14.35

Cell lengths 2.9594, 6.4483, 7.7259 Å; angles 90.00, 90.00, 103.27 degrees
Closest atoms and distances in Å follow each position.
Fractional positions:
H: 0.0000 0.0000 0.0000  2 Ir 1.91
H: 0.0000 0.0000 0.5000  2 Ir 1.91
Ir: 0.8495 0.6989 0.0318  1 H 1.91
Ir: 0.1505 0.3011 0.9682  1 H 1.91
Ir: 0.8495 0.6989 0.4682  1 H 1.91
Ir: 0.1505 0.3011 0.5318  1 H 1.91
Pu: 0.4830 0.9660 0.7500  4 H 2.44
Pu: 0.5170 0.0340 0.2500  4 H 2.44
Al: 0.2518 0.5035 0.2500  6 Ir 2.52-2.56
Al: 0.7482 0.4965 0.7500  6 Ir 2.52-2.56